one) Entry from the Alexandria database: an optimized crystal structure of Be2As3 (PBE-GGA).

```
Be2As3
1.0
-1.6456 1.1307 3.2262
-2.1099 -0.6081 -3.0940
-0.8245 -6.3850 1.8172
As Be
3 2
Cartesian
-2.3597 -3.7801 2.3521 As
0.0000 0.0000 0.0000 As
-2.2204 -2.0823 -0.4028 As
-2.5759 -4.8355 0.3808 Be
-2.0041 -1.0269 1.5685 Be
```

## Properties
Symmetry = P-3m1, No. 164
Total moment = 0.000 Bohr magnetons per cell

two) Entry from the Alexandria database: an optimized crystal structure of Be2As3 (PBE-GGA).

```
Be2As3
1.0
0.0000 5.4085 6.0852
3.4463 0.0000 6.0852
3.4463 5.4085 0.0000
Be As
4 6
Cartesian
3.8696 3.2078 7.0676 Be
5.5927 10.3136 10.1102 Be
5.5927 5.9121 8.1453 Be
3.8696 7.6093 5.1027 Be
0.0906 5.4085 6.0852 As
1.8138 2.7043 3.0426 As
5.5623 7.3954 6.4947 As
3.8392 4.6911 8.7183 As
5.5623 8.8302 11.7608 As
3.8392 6.1259 3.4521 As
```

## Properties
Symmetry = Fdd2, No. 43
Total moment = 0.000 Bohr magnetons per cell

Stability, lowest: one)

one) Entry from the Alexandria database: an optimized crystal structure of BeAs2 (PBE-GGA).

```
BeAs2
1.0
3.7027 0.0000 0.0000
0.0000 4.3264 0.0000
0.0000 0.0000 6.4668
As Be
4 2
Cartesian
0.0000 0.9755 4.0239 As
1.8514 3.1388 5.6762 As
1.8514 1.1877 0.7905 As
0.0000 3.3509 2.4429 As
0.0000 0.0000 0.0000 Be
1.8514 2.1632 3.2334 Be
```

## Properties
Symmetry = Pnnm, No. 58
Total moment = 0.000 Bohr magnetons per cell

two) Entry from the Alexandria database: an optimized crystal structure of BeAs2 (PBE-GGA).

```
BeAs2
1.0
0.9762 -5.2383 1.0987
2.8811 -4.3364 -1.5794
5.7607 -0.1186 4.0575
As Be
4 2
Cartesian
2.0111 -0.5384 1.2491 As
7.6069 -9.1549 2.3277 As
2.5595 -2.9992 0.8105 As
7.0584 -6.6941 2.7662 As
4.4194 -2.9772 2.1408 Be
5.1985 -6.7161 1.4359 Be
```

## Properties
Symmetry = C2/m, No. 12
Total moment = 0.000 Bohr magnetons per cell

three) Entry from the Alexandria database: an optimized crystal structure of BeAs2 (PBE-GGA).

```
BeAs2
1.0
1.3810 5.5732 0.2322
-1.3810 5.5732 0.2322
0.0000 2.6101 7.5817
As Be
4 2
Cartesian
0.0000 4.0560 1.5973 As
0.0000 8.0439 5.3776 As
0.0000 5.5833 5.5676 As
0.0000 1.2654 1.3807 As
0.0000 10.9686 7.8262 Be
0.0000 2.4988 3.2654 Be
```

## Properties
Symmetry = Cm, No. 8
Total moment = 0.000 Bohr magnetons per cell

Stability, lowest: three)

one) Entry from the Alexandria database: an optimized crystal structure of BeAs2 (PBE-GGA).

```
BeAs2
1.0
4.6684 0.0000 0.0000
-2.3342 4.0429 0.0000
0.0000 0.0000 2.7180
As Be
2 1
Cartesian
0.0000 2.6953 1.3610 As
2.3342 1.3476 1.3570 As
0.0000 0.0000 0.0000 Be
```

## Properties
Symmetry = P6/mmm, No. 191
Total moment = 0.000 Bohr magnetons per cell

two) Entry from the Alexandria database: an optimized crystal structure of BeAs2 (PBE-GGA).

```
BeAs2
1.0
-1.4551 1.6569 11.3340
1.4551 -1.6569 11.3340
1.4551 1.6569 -11.3340
As Be
4 2
Cartesian
0.0000 0.8285 1.5346 As
1.4551 0.8285 9.7994 As
0.0000 0.8285 4.1015 As
1.4551 0.8285 7.2324 As
1.4551 0.8285 -2.8295 Be
0.0000 0.8285 14.1635 Be
```

## Properties
Symmetry = Imma, No. 74
Total moment = 0.000 Bohr magnetons per cell

three) Entry from the Alexandria database: an optimized crystal structure of BeAs2 (PBE-GGA).

```
BeAs2
1.0
1.8346 -7.2759 0.0000
1.8346 7.2759 0.0000
0.0000 0.0000 4.1839
As Be
4 2
Cartesian
1.8346 -3.9075 3.1379 As
1.8346 -0.7595 3.1379 As
1.8346 3.9075 1.0460 As
1.8346 0.7595 1.0460 As
1.8346 5.1046 3.1379 Be
1.8346 -5.1046 1.0460 Be
```

## Properties
Symmetry = Cmcm, No. 63
Total moment = 0.000 Bohr magnetons per cell

Stability, lowest: one)

one) Entry from the Alexandria database: an optimized crystal structure of BeBiAs (PBE-GGA).

```
BeBiAs
1.0
3.7448 0.0000 0.0000
1.8724 3.2431 0.0000
1.8724 1.0810 5.9626
Be As Bi
1 1 1
Cartesian
1.8724 1.0810 4.2712 Be
3.7448 2.1621 4.5348 As
3.7448 2.1621 1.8041 Bi
```

## Properties
Symmetry = R3m, No. 160
Total moment = 0.000 Bohr magnetons per cell

two) Entry from the Alexandria database: an optimized crystal structure of BeBiAs (PBE-GGA).

```
BeBiAs
1.0
3.7550 0.0000 0.0000
-1.8775 3.2519 0.0000
0.0000 0.0000 5.0653
Bi Be As
1 1 1
Cartesian
0.0000 0.0000 4.9118 Bi
0.0000 2.1679 2.8980 Be
1.8775 1.0840 2.3208 As
```

## Properties
Symmetry = P3m1, No. 156
Total moment = 0.000 Bohr magnetons per cell

Stability, lowest: two)

one) Entry from the Alexandria database: an optimized crystal structure of BeBi2As (PBE-GGA).

```
BeBi2As
1.0
0.0000 3.6023 3.6023
3.6023 0.0000 3.6023
3.6023 3.6023 0.0000
Bi Be As
2 1 1
Cartesian
1.8011 1.8011 1.8011 Bi
5.4034 5.4034 5.4034 Bi
0.0000 0.0000 0.0000 Be
3.6023 3.6023 3.6023 As
```

## Properties
Symmetry = Fm-3m, No. 225
Total moment = 0.000 Bohr magnetons per cell

two) Entry from the Alexandria database: an optimized crystal structure of BeBi2As (PBE-GGA).

```
BeBi2As
1.0
6.1494 0.0000 0.0000
0.0000 6.1494 0.0000
3.0747 3.0747 6.2775
Bi Be As
4 2 2
Cartesian
1.8476 4.6121 1.5694 Bi
4.3019 1.5374 1.5694 Bi
4.6121 4.9223 4.7081 Bi
7.6868 7.3766 4.7081 Bi
3.0747 6.1494 3.1387 Be
3.0747 3.0747 0.0000 Be
0.0000 0.0000 0.0000 As
6.1494 3.0747 3.1387 As
```

## Properties
Symmetry = I-42d, No. 122
Total moment = 0.000 Bohr magnetons per cell

Stability, lowest: one)

one) Entry from the Alexandria database: an optimized crystal structure of BeBi2AsBr (PBE-GGA).

```
BeBi2AsBr
1.0
-4.3604 3.4538 0.9786
-0.7260 -2.2154 4.5837
3.5001 3.7484 2.3660
Bi Br Be As
2 1 1 1
Cartesian
-2.1802 1.7269 0.4893 Bi
1.7500 1.8742 1.1830 Bi
-0.3630 -1.1077 2.2919 Br
-0.7931 2.4934 3.9642 Be
0.0000 0.0000 0.0000 As
```

## Properties
Symmetry = P4/mmm, No. 123
Total moment = 0.000 Bohr magnetons per cell

two) Entry from the Alexandria database: an optimized crystal structure of BeBi2AsBr (PBE-GGA).

```
BeBi2AsBr
1.0
-5.0451 -0.8158 1.8776
-0.0476 -3.8558 -1.8031
2.0463 -2.1580 4.5607
Be Bi As Br
1 2 1 1
Cartesian
0.0000 0.0000 0.0000 Be
1.0231 -1.0790 2.2804 Bi
-2.5226 -0.4079 0.9388 Bi
-0.0238 -1.9279 -0.9015 As
-1.5232 -3.4148 2.3176 Br
```

## Properties
Symmetry = P4/mmm, No. 123
Total moment = 0.000 Bohr magnetons per cell

Stability, lowest: one)

one) Entry from the Alexandria database: an optimized crystal structure of CaBeBiAs2 (PBE-GGA).

```
CaBeBiAs2
1.0
4.5996 0.0000 0.0000
0.0000 5.4845 0.0000
0.0000 0.0000 4.5996
Be Ca As Bi
1 1 2 1
Cartesian
0.0000 0.0000 0.0000 Be
2.2998 2.7422 2.2998 Ca
2.2998 0.0000 0.0000 As
0.0000 0.0000 2.2998 As
0.0000 2.7422 0.0000 Bi
```

## Properties
Symmetry = P4/mmm, No. 123
Total moment = 0.000 Bohr magnetons per cell

two) Entry from the Alexandria database: an optimized crystal structure of CaBeBiAs2 (PBE-GGA).

```
CaBeBiAs2
1.0
-3.4906 -3.9090 1.6043
2.6666 -3.8644 -3.6142
3.4308 -1.4072 4.0359
Bi Be As Ca
1 1 2 1
Cartesian
0.0000 0.0000 0.0000 Bi
1.3034 -4.5903 1.0130 Be
-1.7453 -1.9545 0.8021 As
1.7154 -0.7036 2.0179 As
1.3333 -1.9322 -1.8071 Ca
```

## Properties
Symmetry = P4/mmm, No. 123
Total moment = 0.000 Bohr magnetons per cell

Stability, lowest: two)

one) Entry from the Alexandria database: an optimized crystal structure of BeAsBr2 (PBE-GGA).

```
BeAsBr2
1.0
3.4914 0.0000 0.0000
0.0000 3.4914 0.0000
0.0000 0.0000 8.5594
As Br Be
1 2 1
Cartesian
0.0000 0.0000 5.6034 As
0.0000 0.0000 7.9414 Br
1.7457 1.7457 2.9162 Br
1.7457 1.7457 4.9374 Be
```

## Properties
Symmetry = P4mm, No. 99
Total moment = 0.000 Bohr magnetons per cell

two) Entry from the Alexandria database: an optimized crystal structure of BeAsBr2 (PBE-GGA).

```
BeAsBr2
1.0
-6.0249 3.6780 -0.5177
-3.2364 -5.6826 -2.7072
-5.8461 -2.3814 2.7355
Br As Be
4 2 2
Cartesian
-5.1433 -3.1342 -1.1507 Br
-8.3442 -3.3921 0.4352 Br
-4.7258 0.4401 0.0998 Br
-12.0016 -2.6856 -0.3631 Br
0.0000 0.0000 0.0000 As
-8.2508 0.1472 0.3027 As
-6.8566 -4.5331 -0.7921 Be
-4.6307 -1.0023 -1.6124 Be
```

## Properties
Symmetry = I-42d, No. 122
Total moment = 6.000 Bohr magnetons per cell

Stability, lowest: two)

one) Entry from the Alexandria database: an optimized crystal structure of BeAsBr (PBE-GGA).

```
BeAsBr
1.0
3.2121 0.0000 0.0000
-1.6060 2.7817 0.0000
0.0000 0.0000 7.1802
Br As Be
1 1 1
Cartesian
0.0000 1.8545 3.9093 Br
0.0000 0.0000 0.7138 As
1.6060 0.9272 2.5572 Be
```

## Properties
Symmetry = P3m1, No. 156
Total moment = 0.000 Bohr magnetons per cell

two) Entry from the Alexandria database: an optimized crystal structure of BeAsBr (PBE-GGA).

```
BeAsBr
1.0
4.3779 0.0000 0.0000
2.1890 3.7914 0.0000
2.1890 1.2638 3.5746
Be Br As
1 1 1
Cartesian
6.5669 3.7914 2.6809 Be
0.0000 0.0000 0.0000 Br
4.3779 2.5276 1.7873 As
```

## Properties
Symmetry = F-43m, No. 216
Total moment = 0.000 Bohr magnetons per cell

Stability, lowest: two)

one) Entry from the Alexandria database: an optimized crystal structure of BeAsBr (PBE-GGA).

```
BeAsBr
1.0
-0.1125 2.2480 7.3284
3.6349 0.1788 6.7474
-0.8192 0.6489 -7.5947
Br As Be
1 1 1
Cartesian
2.5647 1.7670 10.2488 Br
3.3150 2.2839 13.2471 As
1.1651 0.8027 4.6557 Be
```

## Properties
Symmetry = I4mm, No. 107
Total moment = 0.000 Bohr magnetons per cell

two) Entry from the Alexandria database: an optimized crystal structure of BeAsBr (PBE-GGA).

```
BeAsBr
1.0
6.0055 -0.0161 -0.0270
4.0969 4.3910 0.0270
-4.9623 -2.3928 2.3910
As Br Be
1 1 1
Cartesian
9.0923 3.9375 0.0000 As
6.5551 2.8387 0.0000 Br
4.5574 1.9736 0.0000 Be
```

## Properties
Symmetry = Imm2, No. 44
Total moment = 0.000 Bohr magnetons per cell

three) Entry from the Alexandria database: an optimized crystal structure of BeAsBr (PBE-GGA).

```
BeAsBr
1.0
3.9439 -0.0509 0.3110
0.0676 3.5817 -0.2708
1.0189 0.9513 10.3734
Br Be As
2 2 2
Cartesian
3.2624 1.5695 7.1962 Br
1.7680 2.9126 3.2174 Br
3.1892 3.4649 8.3924 Be
1.8412 1.0172 2.0212 Be
3.8987 0.9082 1.0687 As
1.1316 3.5738 9.3448 As
```

## Properties
Symmetry = P-1, No. 2
Total moment = 0.000 Bohr magnetons per cell

four) Entry from the Alexandria database: an optimized crystal structure of BeAsBr (PBE-GGA).

```
BeAsBr
1.0
8.3471 0.0110 -0.0060
7.1306 3.3250 -0.0554
1.2165 -1.8572 2.7451
Br As Be
1 1 1
Cartesian
5.1245 -0.4341 1.9761 Br
1.9611 -1.5860 2.5986 As
10.8251 1.6418 0.8542 Be
```

## Properties
Symmetry = Fmm2, No. 42
Total moment = 0.000 Bohr magnetons per cell

Stability, lowest: one)

one) Entry from the Alexandria database: an optimized crystal structure of CaBeAs2Br (PBE-GGA).

```
CaBeAs2Br
1.0
-3.0781 0.5328 3.0303
-0.1340 -4.3056 0.6209
4.3537 0.4897 4.3362
As Ca Br Be
2 1 1 1
Cartesian
-1.5390 0.2664 1.5152 As
-0.0670 -2.1528 0.3104 As
0.5708 -1.6415 3.9937 Ca
2.1768 0.2449 2.1681 Br
0.0000 0.0000 0.0000 Be
```

## Properties
Symmetry = P4/mmm, No. 123
Total moment = 0.000 Bohr magnetons per cell

two) Entry from the Alexandria database: an optimized crystal structure of CaBeAs2Br (PBE-GGA).

```
CaBeAs2Br
1.0
-2.1312 3.4884 -3.8463
-5.1922 -1.3834 1.6223
0.0581 4.0252 3.6185
Be As Br Ca
1 2 1 1
Cartesian
-3.6326 3.0651 0.6973 Be
-2.5961 -0.6917 0.8111 As
-1.0656 1.7442 -1.9231 As
0.0290 2.0126 1.8093 Br
0.0000 0.0000 0.0000 Ca
```

## Properties
Symmetry = P4/mmm, No. 123
Total moment = 1.557 Bohr magnetons per cell

Stability, lowest: two)

one) Entry from the Alexandria database: an optimized crystal structure of BeCdAsBr2 (PBE-GGA).

```
BeCdAsBr2
1.0
5.7387 0.0000 0.0000
0.0000 4.1574 0.0000
0.0000 0.0000 5.7387
Br Be As Cd
2 1 1 1
Cartesian
0.0000 0.0000 2.8693 Br
2.8693 0.0000 0.0000 Br
0.0000 2.0787 0.0000 Be
0.0000 0.0000 0.0000 As
2.8693 2.0787 2.8693 Cd
```

## Properties
Symmetry = P4/mmm, No. 123
Total moment = 0.000 Bohr magnetons per cell

two) Entry from the Alexandria database: an optimized crystal structure of BeCdAsBr2 (PBE-GGA).

```
BeCdAsBr2
1.0
4.7651 0.0000 0.0000
0.0000 4.7651 0.0000
0.0000 0.0000 4.9867
As Br Cd Be
1 2 1 1
Cartesian
0.0000 0.0000 2.4934 As
2.3826 0.0000 0.0000 Br
0.0000 2.3826 0.0000 Br
2.3826 2.3826 2.4934 Cd
0.0000 0.0000 0.0000 Be
```

## Properties
Symmetry = P4/mmm, No. 123
Total moment = 0.000 Bohr magnetons per cell

Stability, lowest: one)